Here is an optimized crystal structure of MnTe2IO from Alexandria via LeMat-Bulk. Energies are from PBE+U.

Results
Raw total energy: -3.3168 eV/atom
Symmetry: P4/mmm, No. 123
DOS at the Fermi energy: 6.28 states/eV/cell
E above lowest polymorph: 640 meV/atom
Crystal system: tetragonal
V: 166.3 Å³/f.u.

a b c (Å): 5.396 5.396 5.713
angles (deg): 90.00 90.00 90.00
Site moments in Bohr magnetons follow the coordinates.
Atoms (fractional coordinates):
I 0.000 0.000 0.500  -0.13
Te 0.000 0.500 0.000  -0.36
Te 0.500 0.000 0.000  -0.36
O 0.500 0.500 0.500  1.31
Mn 0.000 0.000 0.000  4.31